Material: Mg3GaTe
Method: DFT, PBE
State: optimized geometry

Values from the calculation:
* Fermi-level density of states: 4.66 states/eV/f.u.
* ΔE_f (raw): -0.0621 eV per atom
* total DFT energy (no corrections): -2.253 eV/atom
* energy above the most stable polymorph in this dataset: 0 meV/atom
* symmetry: Pm-3m, No. 221

Unit cell a=5.086 b=5.086 c=5.086 alpha=90.00 beta=90.00 gamma=90.00
Positions (direct):
Mg  0.000  0.000  0.500
Mg  0.000  0.500  0.000
Mg  0.500  0.000  0.000
Ga  0.000  0.000  0.000
Te  0.500  0.500  0.500

Material: MgGaTe3
Method: DFT, PBE
State: optimized geometry

Values from the calculation:
* Fermi-level density of states: 0.50 states/eV/f.u.
* ΔE_f (raw): -0.4504 eV per atom
* total DFT energy (no corrections): -3.260 eV/atom
* energy above the most stable polymorph in this dataset: 0 meV/atom
* symmetry: P2_1/m, No. 11

Unit cell a=6.623 b=4.485 c=11.342 alpha=90.00 beta=98.97 gamma=90.00
Positions (direct):
Mg  0.151  0.250  0.095
Mg  0.849  0.750  0.905
Ga  0.463  0.250  0.609
Ga  0.537  0.750  0.391
Te  0.082  0.250  0.839
Te  0.245  0.750  0.533
Te  0.433  0.750  0.155
Te  0.567  0.250  0.845
Te  0.755  0.250  0.467
Te  0.918  0.750  0.161

Material: MgGaTe3
Method: DFT, PBE
State: optimized geometry

Values from the calculation:
* Fermi-level density of states: 0.66 states/eV/f.u.
* ΔE_f (raw): -0.3546 eV per atom
* total DFT energy (no corrections): -3.164 eV/atom
* energy above the most stable polymorph in this dataset: 96 meV/atom
* symmetry: Amm2, No. 38

Unit cell a=4.515 b=7.727 c=7.727 alpha=50.52 beta=90.00 gamma=90.00
Positions (direct):
Mg  0.000  0.000  0.000
Ga  0.500  0.305  0.305
Te  0.000  0.205  0.205
Te  0.500  0.217  0.705
Te  0.500  0.705  0.217

Material: MgGaTe
Method: DFT, PBE
State: optimized geometry

Values from the calculation:
* Fermi-level density of states: 0.39 states/eV/f.u.
* ΔE_f (raw): -0.3012 eV per atom
* total DFT energy (no corrections): -2.889 eV/atom
* symmetry: P-6m2, No. 187

Unit cell a=4.288 b=4.288 c=10.624 alpha=90.00 beta=90.00 gamma=120.00
Positions (direct):
Mg  0.000  0.000  0.156
Mg  0.000  0.000  0.844
Ga  0.000  0.000  0.500
Ga  0.333  0.667  0.000
Te  0.333  0.667  0.295
Te  0.333  0.667  0.705

Material: Mg3GaTe
Method: DFT, PBE
State: optimized geometry

Values from the calculation:
* Fermi-level density of states: 3.00 states/eV/f.u.
* ΔE_f (raw): 0.3939 eV per atom
* total DFT energy (no corrections): -1.797 eV/atom
* energy above the most stable polymorph in this dataset: 456 meV/atom
* symmetry: Pm-3m, No. 221

Unit cell a=5.476 b=5.476 c=5.476 alpha=90.00 beta=90.00 gamma=90.00
Positions (direct):
Mg  0.000  0.000  0.500
Mg  0.000  0.500  0.000
Mg  0.500  0.000  0.000
Ga  0.500  0.500  0.500
Te  0.000  0.000  0.000

Material: Mg2Ga2Te
Method: DFT, PBE
State: optimized geometry

Values from the calculation:
* Fermi-level density of states: 2.66 states/eV/f.u.
* ΔE_f (raw): -0.0887 eV per atom
* total DFT energy (no corrections): -2.566 eV/atom
* energy above the most stable polymorph in this dataset: 4 meV/atom
* symmetry: P4/mbm, No. 127

Unit cell a=7.674 b=7.674 c=3.794 alpha=90.00 beta=90.00 gamma=90.00
Positions (direct):
Mg  0.178  0.322  0.000
Mg  0.322  0.822  0.000
Mg  0.678  0.178  0.000
Mg  0.822  0.678  0.000
Ga  0.123  0.623  0.500
Ga  0.377  0.123  0.500
Ga  0.623  0.877  0.500
Ga  0.877  0.377  0.500
Te  0.000  0.000  0.500
Te  0.500  0.500  0.500

Material: Mg2Ga2Te
Method: DFT, PBE
State: optimized geometry

Values from the calculation:
* Fermi-level density of states: 2.62 states/eV/f.u.
* ΔE_f (raw): -0.0927 eV per atom
* total DFT energy (no corrections): -2.570 eV/atom
* energy above the most stable polymorph in this dataset: 0 meV/atom
* symmetry: P4/mbm, No. 127

Unit cell a=7.596 b=7.596 c=4.127 alpha=90.00 beta=90.00 gamma=90.00
Positions (direct):
Mg  0.154  0.346  0.000
Mg  0.346  0.846  0.000
Mg  0.654  0.154  0.000
Mg  0.846  0.654  0.000
Ga  0.134  0.634  0.500
Ga  0.366  0.134  0.500
Ga  0.634  0.866  0.500
Ga  0.866  0.366  0.500
Te  0.000  0.000  0.000
Te  0.500  0.500  0.000

Material: MgTl2GaTe4
Method: DFT, PBE
State: optimized geometry

Values from the calculation:
* Fermi-level density of states: 6.74 states/eV/f.u.
* ΔE_f (raw): -0.3848 eV per atom
* total DFT energy (no corrections): -3.125 eV/atom
* symmetry: I-42m, No. 121

Unit cell a=6.913 b=6.913 c=6.913 alpha=106.17 beta=106.17 gamma=116.29
Positions (direct):
Mg  0.000  0.000  0.000
Tl  0.000  0.500  0.500
Tl  0.500  0.000  0.500
Ga  0.500  0.500  0.000
Te  0.092  0.445  0.000
Te  0.445  0.092  0.000
Te  0.555  0.555  0.646
Te  0.908  0.908  0.354

Material: Th3Mg4Ga4
Method: DFT, PBE
State: optimized geometry

Values from the calculation:
* formation energy from the elements: -367 kJ/mol of formula units
* Fermi-level density of states: 7.13 states/eV/f.u.
* total DFT energy (no corrections): -4.049 eV/atom
* symmetry: Immm, No. 71

Unit cell a=8.692 b=8.692 c=8.692 alpha=149.60 beta=129.67 gamma=59.94
Positions (direct):
Th  0.000  0.000  0.000
Th  0.382  0.882  0.500
Th  0.618  0.118  0.500
Mg  0.021  0.329  0.692
Mg  0.363  0.671  0.692
Mg  0.637  0.329  0.308
Mg  0.979  0.671  0.308
Ga  0.219  0.219  0.000
Ga  0.312  0.500  0.812
Ga  0.688  0.500  0.188
Ga  0.781  0.781  0.000

Material: ThMg2Ga6
Method: DFT, PBE
State: optimized geometry

Values from the calculation:
* formation energy from the elements: -209 kJ/mol of formula units
* Fermi-level density of states: 2.06 states/eV/f.u.
* total DFT energy (no corrections): -3.438 eV/atom
* symmetry: P6/mmm, No. 191

Unit cell a=7.973 b=7.973 c=3.315 alpha=90.00 beta=90.00 gamma=120.00
Positions (direct):
Th  0.000  0.000  0.000
Mg  0.333  0.667  0.000
Mg  0.667  0.333  0.000
Ga  0.000  0.341  0.500
Ga  0.000  0.659  0.500
Ga  0.341  0.000  0.500
Ga  0.341  0.341  0.500
Ga  0.659  0.000  0.500
Ga  0.659  0.659  0.500

Material: Th2MgGa12
Method: DFT, PBE
State: optimized geometry

Values from the calculation:
* formation energy from the elements: -384 kJ/mol of formula units
* Fermi-level density of states: 3.90 states/eV/f.u.
* total DFT energy (no corrections): -3.783 eV/atom
* symmetry: P4/nbm, No. 125

Unit cell a=5.949 b=5.949 c=17.501 alpha=90.00 beta=90.00 gamma=90.00
Positions (direct):
Th  0.250  0.750  0.223
Th  0.250  0.750  0.777
Th  0.750  0.250  0.223
Th  0.750  0.250  0.777
Mg  0.250  0.750  0.500
Mg  0.750  0.250  0.500
Ga  0.001  0.501  0.385
Ga  0.001  0.999  0.615
Ga  0.073  0.573  0.936
Ga  0.073  0.927  0.064
Ga  0.250  0.250  0.149
Ga  0.250  0.250  0.292
Ga  0.250  0.250  0.708
Ga  0.250  0.250  0.851
Ga  0.427  0.573  0.064
Ga  0.427  0.927  0.936
Ga  0.499  0.501  0.615
Ga  0.499  0.999  0.385
Ga  0.501  0.001  0.615
Ga  0.501  0.499  0.385
Ga  0.573  0.073  0.064
Ga  0.573  0.427  0.936
Ga  0.750  0.750  0.149
Ga  0.750  0.750  0.292
Ga  0.750  0.750  0.708
Ga  0.750  0.750  0.851
Ga  0.927  0.073  0.936
Ga  0.927  0.427  0.064
Ga  0.999  0.001  0.385
Ga  0.999  0.499  0.615

Material: ThMg6Ga2
Method: DFT, PBE
State: optimized geometry

Values from the calculation:
* formation energy from the elements: -170 kJ/mol of formula units
* Fermi-level density of states: 3.23 states/eV/f.u.
* total DFT energy (no corrections): -2.756 eV/atom
* symmetry: P4/mmm, No. 123

Unit cell a=4.360 b=4.360 c=10.523 alpha=90.00 beta=90.00 gamma=90.00
Positions (direct):
Th  0.000  0.000  0.000
Mg  0.000  0.000  0.500
Mg  0.000  0.500  0.277
Mg  0.000  0.500  0.723
Mg  0.500  0.000  0.277
Mg  0.500  0.000  0.723
Mg  0.500  0.500  0.500
Ga  0.500  0.500  0.117
Ga  0.500  0.500  0.883

Material: ThMg2Ga
Method: DFT, PBE
State: optimized geometry

Values from the calculation:
* formation energy from the elements: 61 kJ/mol of formula units
* Fermi-level density of states: 1.67 states/eV/f.u.
* total DFT energy (no corrections): -3.251 eV/atom
* energy above the most stable polymorph in this dataset: 324 meV/atom
* symmetry: R-3m, No. 166

Unit cell a=11.274 b=11.274 c=11.274 alpha=16.53 beta=16.53 gamma=16.53
Positions (direct):
Th  0.000  0.000  0.000
Mg  0.099  0.099  0.099
Mg  0.901  0.901  0.901
Ga  0.500  0.500  0.500

Material: ThMg3Ga2
Method: DFT, PBE
State: optimized geometry

Values from the calculation:
* formation energy from the elements: -159 kJ/mol of formula units
* Fermi-level density of states: 2.62 states/eV/f.u.
* total DFT energy (no corrections): -3.317 eV/atom
* symmetry: C2/m, No. 12

Unit cell a=8.413 b=8.413 c=8.246 alpha=116.18 beta=116.18 gamma=30.88
Positions (direct):
Th  0.142  0.142  0.066
Th  0.858  0.858  0.934
Mg  0.047  0.047  0.376
Mg  0.311  0.311  0.544
Mg  0.394  0.394  0.288
Mg  0.606  0.606  0.712
Mg  0.689  0.689  0.456
Mg  0.953  0.953  0.624
Ga  0.209  0.209  0.742
Ga  0.482  0.482  0.839
Ga  0.518  0.518  0.161
Ga  0.791  0.791  0.258

Material: Th2MgGa3
Method: DFT, PBE
State: optimized geometry

Values from the calculation:
* formation energy from the elements: -249 kJ/mol of formula units
* Fermi-level density of states: 3.46 states/eV/f.u.
* total DFT energy (no corrections): -4.683 eV/atom
* symmetry: Fmmm, No. 69

Unit cell a=8.882 b=8.713 c=6.054 alpha=71.39 beta=68.38 gamma=40.24
Positions (direct):
Th  0.244  0.756  0.756
Th  0.250  0.250  0.250
Th  0.750  0.750  0.750
Th  0.756  0.244  0.244
Mg  0.334  0.334  0.666
Mg  0.666  0.666  0.334
Ga  0.165  0.165  0.835
Ga  0.166  0.670  0.330
Ga  0.330  0.834  0.166
Ga  0.670  0.166  0.834
Ga  0.834  0.330  0.670
Ga  0.835  0.835  0.165

Material: ThMgGa4
Method: DFT, PBE
State: optimized geometry

Values from the calculation:
* formation energy from the elements: -120 kJ/mol of formula units
* Fermi-level density of states: 7.54 states/eV/f.u.
* total DFT energy (no corrections): -3.727 eV/atom
* symmetry: F-43m, No. 216

Unit cell a=5.582 b=5.582 c=5.582 alpha=60.00 beta=60.00 gamma=60.00
Positions (direct):
Th  0.000  0.000  0.000
Mg  0.750  0.750  0.750
Ga  0.375  0.375  0.375
Ga  0.375  0.375  0.876
Ga  0.375  0.876  0.375
Ga  0.876  0.375  0.375

Material: ThMg2Ga
Method: DFT, PBE
State: optimized geometry

Values from the calculation:
* formation energy from the elements: -64 kJ/mol of formula units
* Fermi-level density of states: 2.59 states/eV/f.u.
* total DFT energy (no corrections): -3.575 eV/atom
* energy above the most stable polymorph in this dataset: 0 meV/atom
* symmetry: P4/mmm, No. 123

Unit cell a=4.480 b=4.480 c=4.867 alpha=90.00 beta=90.00 gamma=90.00
Positions (direct):
Th  0.000  0.000  0.000
Mg  0.000  0.500  0.500
Mg  0.500  0.000  0.500
Ga  0.500  0.500  0.000

Material: ThMgTlGa
Method: DFT, PBE
State: optimized geometry

Values from the calculation:
* formation energy from the elements: -64 kJ/mol of formula units
* Fermi-level density of states: 3.58 states/eV/f.u.
* total DFT energy (no corrections): -3.768 eV/atom
* symmetry: F-43m, No. 216

Unit cell a=5.196 b=5.196 c=5.196 alpha=60.00 beta=60.00 gamma=60.00
Positions (direct):
Th  0.000  0.000  0.000
Mg  0.500  0.500  0.500
Tl  0.750  0.750  0.750
Ga  0.250  0.250  0.250

Material: TmThMgGa
Method: DFT, PBE
State: optimized geometry

Values from the calculation:
* formation energy from the elements: -86 kJ/mol of formula units
* Fermi-level density of states: 2.38 states/eV/f.u.
* total DFT energy (no corrections): -4.350 eV/atom
* symmetry: F-43m, No. 216

Unit cell a=5.217 b=5.217 c=5.217 alpha=60.00 beta=60.00 gamma=60.00
Positions (direct):
Tm  0.000  0.000  0.000
Th  0.500  0.500  0.500
Mg  0.250  0.250  0.250
Ga  0.750  0.750  0.750

Material: YThMgGa
Method: DFT, PBE
State: optimized geometry

Values from the calculation:
* formation energy from the elements: -93 kJ/mol of formula units
* Fermi-level density of states: 2.58 states/eV/f.u.
* total DFT energy (no corrections): -4.867 eV/atom
* symmetry: F-43m, No. 216

Unit cell a=5.253 b=5.253 c=5.253 alpha=60.00 beta=60.00 gamma=60.00
Positions (direct):
Y  0.000  0.000  0.000
Th  0.500  0.500  0.500
Mg  0.250  0.250  0.250
Ga  0.750  0.750  0.750

Material: Th2MgZn3Ga4
Method: DFT, PBE
State: optimized geometry

Values from the calculation:
* formation energy from the elements: -381 kJ/mol of formula units
* Fermi-level density of states: 2.63 states/eV/f.u.
* total DFT energy (no corrections): -3.631 eV/atom
* symmetry: P-4m2, No. 115

Unit cell a=4.274 b=4.274 c=10.871 alpha=90.00 beta=90.00 gamma=90.00
Positions (direct):
Th  0.000  0.500  0.241
Th  0.500  0.000  0.759
Mg  0.000  0.000  0.500
Zn  0.000  0.500  0.870
Zn  0.500  0.000  0.130
Zn  0.500  0.500  0.500
Ga  0.000  0.000  0.000
Ga  0.000  0.500  0.646
Ga  0.500  0.000  0.354
Ga  0.500  0.500  0.000

Material: ThMgZnGa
Method: DFT, PBE
State: optimized geometry

Values from the calculation:
* formation energy from the elements: -103 kJ/mol of formula units
* Fermi-level density of states: 3.25 states/eV/f.u.
* total DFT energy (no corrections): -3.596 eV/atom
* symmetry: F-43m, No. 216

Unit cell a=4.984 b=4.984 c=4.984 alpha=60.00 beta=60.00 gamma=60.00
Positions (direct):
Th  0.000  0.000  0.000
Mg  0.500  0.500  0.500
Zn  0.750  0.750  0.750
Ga  0.250  0.250  0.250

Material: ThMg2Zn2Ga
Method: DFT, PBE
State: optimized geometry

Values from the calculation:
* formation energy from the elements: 83 kJ/mol of formula units
* Fermi-level density of states: 3.26 states/eV/f.u.
* total DFT energy (no corrections): -2.555 eV/atom
* symmetry: I4/mmm, No. 139

Unit cell a=6.557 b=6.557 c=6.557 alpha=135.13 beta=135.13 gamma=65.33
Positions (direct):
Th  0.000  0.000  0.000
Mg  0.250  0.750  0.500
Mg  0.750  0.250  0.500
Zn  0.286  0.286  0.000
Zn  0.714  0.714  0.000
Ga  0.500  0.500  0.000

Material: Mg6TiGa
Method: DFT, PBE
State: optimized geometry

Values from the calculation:
* formation energy from the elements: 20 kJ/mol of formula units
* Fermi-level density of states: 3.74 states/eV/f.u.
* total DFT energy (no corrections): -2.536 eV/atom
* energy above the most stable polymorph in this dataset: 0 meV/atom
* symmetry: Amm2, No. 38

Unit cell a=4.949 b=6.274 c=6.274 alpha=57.22 beta=90.00 gamma=90.00
Positions (direct):
Mg  0.000  0.000  0.000
Mg  0.000  0.000  0.510
Mg  0.000  0.497  0.497
Mg  0.000  0.510  0.000
Mg  0.500  0.343  0.845
Mg  0.500  0.845  0.343
Ti  0.500  0.846  0.846
Ga  0.500  0.341  0.341